(1)
PaAlCrSi2 | PBE-GGA | optimized geometry

## Properties
ΔE_f (raw): -0.305 eV per atom

abc: 5.4307 5.4913 5.6057
angles: 90.00 90.00 90.00
Fractional coordinates of all 10 atoms:
Pa: 0.2500 0.0000 0.2235
Pa: 0.7500 0.0000 0.7765
Al: 0.2500 0.5000 0.3790
Al: 0.7500 0.5000 0.6210
Cr: 0.0000 0.5000 0.0000
Cr: 0.5000 0.5000 0.0000
Si: 0.2500 0.2284 0.7398
Si: 0.2500 0.7716 0.7398
Si: 0.7500 0.2284 0.2602
Si: 0.7500 0.7716 0.2602



(2)
Gd2LuCd | PBE-GGA | optimized geometry

## Properties
energy above the most stable polymorph in this dataset: 30.5 meV/atom

abc: 4.8532 4.8532 4.8414
angles: 90.00 90.00 90.00
Fractional coordinates of all 4 atoms:
Gd: 0.0000 0.5000 0.0000
Gd: 0.5000 0.0000 0.0000
Lu: 0.0000 0.0000 0.5000
Cd: 0.5000 0.5000 0.5000



(3)
Zr5TlCd2 | PBE-GGA | optimized geometry

## Properties
energy above the most stable polymorph in this dataset: 0.0 meV/atom

abc: 9.5954 9.5954 9.5954
angles: 153.34 153.34 38.07
Fractional coordinates of all 8 atoms:
Zr: 0.0000 0.0000 0.0000
Zr: 0.1254 0.6254 0.5000
Zr: 0.3746 0.8746 0.5000
Zr: 0.6254 0.1254 0.5000
Zr: 0.8746 0.3746 0.5000
Tl: 0.5000 0.5000 0.0000
Cd: 0.2506 0.2506 0.0000
Cd: 0.7494 0.7494 0.0000



(4)
Ce4PrSm3Se8 | PBE-GGA | optimized geometry

## Properties
ΔE_f (raw): -1.828 eV per atom

abc: 8.4171 8.4171 8.4171
angles: 59.76 59.76 59.76
Fractional coordinates of all 16 atoms:
Ce: 0.0000 0.0000 0.0000
Ce: 0.0000 0.5000 0.5000
Ce: 0.5000 0.0000 0.5000
Ce: 0.5000 0.5000 0.0000
Pr: 0.5000 0.5000 0.5000
Sm: 0.0000 0.0000 0.5000
Sm: 0.0000 0.5000 0.0000
Sm: 0.5000 0.0000 0.0000
Se: 0.2462 0.7517 0.7517
Se: 0.2483 0.2483 0.7538
Se: 0.2483 0.7538 0.2483
Se: 0.2490 0.2490 0.2490
Se: 0.7510 0.7510 0.7510
Se: 0.7516 0.2462 0.7516
Se: 0.7516 0.7517 0.2462
Se: 0.7538 0.2484 0.2483



(5)
LaCe2Cu2Au2 | PBE-GGA | optimized geometry

## Properties
E_tot: -4.883 eV per atom

abc: 9.0170 9.0170 9.0170
angles: 29.37 29.37 29.37
Fractional coordinates of all 7 atoms:
La: 0.0000 0.0000 0.0000
Ce: 0.1391 0.1391 0.1391
Ce: 0.8609 0.8609 0.8609
Cu: 0.4189 0.4189 0.4189
Cu: 0.5811 0.5811 0.5811
Au: 0.2606 0.2606 0.2606
Au: 0.7394 0.7394 0.7394



(6)
Cd2CoTc | PBE-GGA | optimized geometry

## Properties
energy above the most stable polymorph in this dataset: 309.3 meV/atom

abc: 2.7564 2.7564 8.6236
angles: 90.00 90.00 90.00
Fractional coordinates of all 4 atoms:
Cd: 0.0000 0.0000 0.2364
Cd: 0.0000 0.0000 0.7636
Co: 0.5000 0.5000 0.0000
Tc: 0.5000 0.5000 0.5000



Values of DOS(E_F), in order: 8.6; 5.3; 7.6; 26.4; 11.6; 5.5, all in states/eV/cell.